1.
# ZrSb2Au | Alexandria via LeMat-Bulk | PBE | optimized geometry
data_ZrSb2Au
_chemical_formula_sum 'Zr4 Sb8 Au4'
_symmetry_space_group_name_H-M 'F m -3 m'
_symmetry_Int_Tables_number 225
_symmetry_space_group_name_Hall '-F 4 2 3'
_cell_length_a 7.163
_cell_length_b 7.163
_cell_length_c 7.163
_cell_angle_alpha 90.00
_cell_angle_beta 90.00
_cell_angle_gamma 90.00
loop_
_atom_site_label
_atom_site_type_symbol
_atom_site_fract_x
_atom_site_fract_y
_atom_site_fract_z
Zr1 Zr 0.000 0.000 0.000
Sb1 Sb 0.250 0.250 0.250
Au1 Au 0.000 0.000 0.500
# * raw formation energy: -48 meV/atom
# * magnetic moment: 0.00 μB/f.u.



2.
# Tb4SbPt | Alexandria via LeMat-Bulk | PBE | optimized geometry
data_Tb4SbPt
_chemical_formula_sum 'Tb16 Sb4 Pt4'
_symmetry_space_group_name_H-M 'C 1 2/c 1'
_symmetry_Int_Tables_number 15
_cell_length_a 15.547
_cell_length_b 6.864
_cell_length_c 7.199
_cell_angle_alpha 90.00
_cell_angle_beta 108.06
_cell_angle_gamma 90.00
loop_
_symmetry_equiv_pos_as_xyz
'x,y,z'
'-x,-y,-z'
'-x,y,-z+1/2'
'x,-y,z+1/2'
'x+1/2,y+1/2,z'
'-x+1/2,-y+1/2,-z'
'-x+1/2,y+1/2,-z+1/2'
'x+1/2,-y+1/2,z+1/2'
loop_
_atom_site_label
_atom_site_type_symbol
_atom_site_fract_x
_atom_site_fract_y
_atom_site_fract_z
Tb1 Tb 0.091 0.077 0.472
Tb2 Tb 0.160 0.434 0.148
Sb1 Sb 0.000 0.324 0.750
Pt1 Pt 0.250 0.250 0.500
# * excess energy over the best structure of this formula in the dataset: 149 meV per atom
# * raw formation energy: -666 meV/atom
# * magnetic moment: 0.00 μB/f.u.